# LiSbAu2

A PBEsol-optimized structure of LiSbAu2 (meta-GGA SCAN, Alexandria).

- formation energy from raw total energies (eV per atom) = -0.291
- symmetry = No. 47

POSCAR file:
```
LiSbAu2
1.0
3.444 0.000 0.000
0.000 3.642 0.000
0.000 0.000 5.802
Li Sb Au
1 1 2
Direct
0.000 0.000 0.000
0.000 0.000 0.500
0.500 0.500 0.234
0.500 0.500 0.766
```